1.
Crystalline AcGa2Hg2 at its relaxed geometry. Source: the Open Quantum Materials Database, functional PBE-GGA.

Structure (POSCAR):
```
AcGa2Hg2
1.0
1.805 -1.296 6.061
2.870 3.110 4.873
-3.144 1.591 3.089
Hg Ga Ac
2 2 1
direct
0.250 0.250 0.250
0.750 0.750 0.750
0.387 0.387 0.613
0.613 0.613 0.387
0.000 0.000 0.000
```

=====

2.
Crystalline GdInCo at its relaxed geometry. Source: the Open Quantum Materials Database, functional PBE-GGA.

Structure (POSCAR):
```
GdInCo
1.0
-2.761 -2.911 -2.187
-3.106 -2.399 2.340
-4.444 0.965 -0.448
Co Gd In
1 1 1
direct
0.000 0.000 0.000
0.250 0.250 0.250
0.750 0.750 0.750
```

=====

3.
Crystalline ErAl4Ag8 at its relaxed geometry. Source: the Open Quantum Materials Database, functional PBE-GGA.

Structure (POSCAR):
```
ErAl4Ag8
1.0
-4.635 4.635 2.684
4.635 -4.635 2.684
4.635 4.635 -2.684
Al Ag Er
4 8 1
direct
0.000 0.500 0.000
0.500 0.500 0.500
0.000 0.000 0.500
0.500 0.000 0.000
0.000 0.659 0.659
0.341 0.000 0.341
0.284 0.500 0.784
0.500 0.284 0.784
0.716 0.500 0.216
0.500 0.716 0.216
0.000 0.341 0.341
0.659 0.000 0.659
0.000 0.000 0.000
```

=====

The DFT total energy results, record by record, are as follows: -2.569, -4.963, -3.442 eV per atom.
The total magnetic moment results, record by record, are as follows: 0.00, 0.00, 0.02 μB per formula unit.